Entry from the Alexandria database: an optimized crystal structure of Th3InC2 (PBE).

## Properties
Symmetry: No. 51
Density of states at the Fermi level: 2.48 states/eV/f.u.
Calculated total energy: -44.18 eV per formula unit

a b c (Å): 3.686 6.491 11.254
angles (deg): 90.00 90.00 90.00
Fractional coordinates of all 12 atoms:
Th1 0.500 0.236 0.225
Th2 0.500 0.248 0.775
Th3 0.500 0.748 0.225
Th4 0.000 0.742 0.500
Th5 0.000 0.242 0.500
Th6 0.500 0.736 0.775
In1 0.000 0.992 0.987
In2 0.000 0.492 0.013
C1 0.000 0.492 0.691
C2 0.500 0.992 0.607
C3 0.000 0.992 0.309
C4 0.500 0.492 0.393

***

Entry from the Alexandria database: an optimized crystal structure of LiWAu2 (PBE).

## Properties
Symmetry: No. 119
Energy above the lowest structure with this stoichiometry: 0.387 eV/atom
Density of states at the Fermi level: 3.85 states/eV/f.u.

a b c (Å): 4.983 4.983 4.983
angles (deg): 132.96 132.96 68.71
Last column: magnetic moment on the atom in μB.
Fractional coordinates of all 4 atoms:
Li1 0.500 0.500 0.000  0.02
Au1 0.000 0.000 0.000  0.08
Au2 0.250 0.750 0.500  0.09
W1 0.750 0.250 0.500  1.09

***

Entry from the Alexandria database: an optimized crystal structure of HoTm7Th3 (PBE).

## Properties
Symmetry: No. 156
Energy above the lowest structure with this stoichiometry: 0.050 eV/atom
Density of states at the Fermi level: 14.97 states/eV/f.u.

a b c (Å): 8.443 7.005 7.005
angles (deg): 120.00 90.00 90.00
Fractional coordinates of all 11 atoms:
Th1 0.784 0.500 0.500
Th2 0.784 0.500 0.001
Th3 0.784 0.999 0.500
Tm1 0.450 0.832 0.168
Tm2 0.116 0.665 0.832
Tm3 0.450 0.335 0.168
Tm4 0.116 0.168 0.832
Tm5 0.450 0.832 0.665
Tm6 0.114 0.667 0.333
Tm7 0.116 0.168 0.335
Ho1 0.453 0.333 0.667